Below is a PBEsol-optimized structure of Zr2ScHg, with properties calculated at the meta-GGA SCAN level.

POSCAR file:
```
Zr2ScHg
1.0
10.924 0.000 0.000
0.000 3.214 0.000
-2.280 0.000 4.882
Zr Sc Hg
4 2 2
direct
0.000 0.000 0.000
0.240 0.000 0.871
0.500 0.500 0.000
0.740 0.500 0.871
0.471 0.000 0.479
0.971 0.500 0.479
0.233 0.500 0.394
0.733 0.000 0.394
```

Calculated values
The value obtained for the total magnetization is 0.00 μB/atom. The calculation puts the calculated formation energy at -0.94 eV/f.u. Its space group is Cm, No. 8.